! PBE-GGA In2PbSe, optimized geometry; values from VASP
! DFT total energy	-13.286	eV per cell
! E above lowest polymorph	0.062	eV per formula unit
! uncorrected formation energy	-0.154	eV per atom
! DOS(E_F)	0.566	states/eV/atom
! calculated density	7.46	g/cm³
&SYSTEM
  ibrav = 0, nat = 4, ntyp = 3
/
ATOMIC_SPECIES
In 114.82 In.upf
Pb 207.20 Pb.upf
Se 78.96 Se.upf
CELL_PARAMETERS angstrom
3.872 0.000 0.000
1.936 3.353 0.000
1.936 1.118 8.846
ATOMIC_POSITIONS crystal
In 0.071 0.071 0.788
In 0.263 0.263 0.212
Pb 0.498 0.498 0.505
Se 0.668 0.668 0.995